# 1
This record from the Alexandria database describes crystalline KTl at its relaxed geometry. The functional is GGA-PBE.

Lattice parameters (Å, degrees): 6.061 6.061 7.198 90.00 90.00 120.00
Atoms (fractional coordinates):
1 K 0.667 0.333 0.750
2 Tl 0.667 0.333 0.250
3 K 0.333 0.667 0.250
4 Tl 0.333 0.667 0.750

Properties
calculated volume: 57.26 Å³ per atom

# 2
This record from the Alexandria database describes crystalline K2Tl7 at its relaxed geometry. The functional is GGA-PBE.

Lattice parameters (Å, degrees): 6.717 6.717 16.673 78.38 78.38 60.00
Atoms (fractional coordinates):
1 Tl 0.386 0.386 0.336
2 Tl 0.500 0.500 0.500
3 K 0.053 0.053 0.840
4 Tl 0.723 0.723 0.832
5 Tl 0.614 0.108 0.664
6 Tl 0.500 0.000 0.000
7 Tl 0.609 0.609 0.172
8 Tl 0.108 0.614 0.664
9 Tl 0.000 0.500 0.000
10 K 0.947 0.947 0.160
11 K 0.150 0.150 0.550
12 Tl 0.391 0.391 0.828
13 Tl 0.277 0.277 0.168
14 Tl 0.614 0.614 0.664
15 Tl 0.500 0.500 0.000
16 Tl 0.892 0.386 0.336
17 Tl 0.386 0.892 0.336
18 K 0.850 0.850 0.450

Properties
calculated volume: 35.20 Å³ per atom

Number 1: energy of formation 7.5 kcal/mol of atoms. Number 2: energy of formation -1.3 kcal/mol of atoms.